[1]
Density functional theory data (GGA-PBE) for a relaxed Na2Ac2GeO6 crystal.

Cell: 6.1737 6.1737 5.8825 Å, 95.29 95.29 119.34°
With the nearest neighbours (Å) after each atom.
Fractional positions:
Na (0.8762, 0.1238, 0.0000)  4 O 2.31-2.41
Na (0.1238, 0.8762, 0.0000)  4 O 2.31-2.41
Ac (0.3367, 0.6633, 0.5000)  6 O 2.48-2.61
Ac (0.6633, 0.3367, 0.5000)  6 O 2.48-2.61
Ge (0.0000, 0.0000, 0.5000)  6 O 1.92-2.04
O (0.7856, 0.7856, 0.6972)  1 Ge 1.92
O (0.0273, 0.3119, 0.6839)  1 Ge 2.04
O (0.2144, 0.2144, 0.3028)  1 Ge 1.92
O (0.3119, 0.0273, 0.6839)  1 Ge 2.04
O (0.9727, 0.6881, 0.3161)  1 Ge 2.04
O (0.6881, 0.9727, 0.3161)  1 Ge 2.04

Computed properties:
* total DFT energy (no corrections): -0.23314 Ha/atom
* volume: 192.2 Å³ per cell

---

[2]
Density functional theory data (GGA-PBE) for a relaxed NaAcGeO4 crystal.

Cell: 6.2350 6.6697 6.6697 Å, 69.88 62.13 62.13°
With the nearest neighbours (Å) after each atom.
Fractional positions:
Na (0.5000, 0.0000, 0.5000)  2 O 2.24
Na (0.0000, 0.0000, 0.5000)  2 O 2.24
Ac (0.0000, 0.0000, 0.0000)  6 O 2.50-2.52
Ac (0.0000, 0.5000, 0.5000)  6 O 2.50-2.52
Ge (0.6205, 0.6295, 0.1295)  4 O 1.79-1.83
Ge (0.3795, 0.3705, 0.8705)  4 O 1.79-1.83
O (0.7253, 0.7233, 0.8261)  1 Ge 1.79
O (0.2747, 0.6739, 0.7767)  1 Ge 1.79
O (0.7253, 0.3261, 0.2233)  1 Ge 1.79
O (0.2747, 0.2767, 0.1739)  1 Ge 1.79
O (0.2628, 0.7508, 0.2508)  1 Ge 1.83
O (0.7356, 0.7508, 0.2508)  1 Ge 1.83
O (0.2644, 0.2492, 0.7492)  1 Ge 1.83
O (0.7372, 0.2492, 0.7492)  1 Ge 1.83

Computed properties:
* total DFT energy (no corrections): -0.23807 Ha/atom
* volume: 214.0 Å³ per cell

---

[3]
Density functional theory data (GGA-PBE) for a relaxed NaAc3Ge2O9 crystal.

Cell: 5.6522 5.6522 6.9830 Å, 90.00 90.00 120.00°
With the nearest neighbours (Å) after each atom.
Fractional positions:
Na (0.0000, 0.0000, 0.5000)  6 O 2.16
Ac (0.3333, 0.6667, 0.6613)  12 O 2.83-2.88
Ac (0.0000, 0.0000, 0.0000)  12 O 2.79-2.83
Ac (0.6667, 0.3333, 0.3387)  12 O 2.83-2.88
Ge (0.3333, 0.6667, 0.1712)  6 O 1.84-2.02
Ge (0.6667, 0.3333, 0.8288)  6 O 1.84-2.02
O (0.8243, 0.1757, 0.6861)  1 Ge 1.84
O (0.8243, 0.6485, 0.6861)  1 Ge 1.84
O (0.3515, 0.1757, 0.6861)  1 Ge 1.84
O (0.6485, 0.8243, 0.3139)  1 Ge 1.84
O (0.1757, 0.3515, 0.3139)  1 Ge 1.84
O (0.1757, 0.8243, 0.3139)  1 Ge 1.84
O (0.5000, 0.0000, 0.0000)  2 Ge 2.02
O (0.0000, 0.5000, 0.0000)  2 Ge 2.02
O (0.5000, 0.5000, 0.0000)  2 Ge 2.02

Computed properties:
* total DFT energy (no corrections): -0.25878 Ha/atom
* volume: 193.2 Å³ per cell

---

[4]
Density functional theory data (GGA-PBE) for a relaxed NaAcGe2O6 crystal.

Cell: 5.4711 7.7494 7.7494 Å, 90.98 81.36 81.36°
With the nearest neighbours (Å) after each atom.
Fractional positions:
Na (0.2500, 0.3694, 0.6306)  6 O 2.46-2.66
Na (0.7500, 0.6306, 0.3694)  6 O 2.46-2.66
Ac (0.2500, 0.8711, 0.1289)  6 O 2.41-2.69
Ac (0.7500, 0.1289, 0.8711)  6 O 2.41-2.69
Ge (0.2529, 0.7900, 0.6277)  4 O 1.73-1.83
Ge (0.2471, 0.3723, 0.2100)  4 O 1.73-1.83
Ge (0.7471, 0.2100, 0.3723)  4 O 1.73-1.83
Ge (0.7529, 0.6277, 0.7900)  4 O 1.73-1.83
O (0.1717, 0.9454, 0.8016)  1 Ge 1.75
O (0.3283, 0.1984, 0.0546)  1 Ge 1.75
O (0.8283, 0.0546, 0.1984)  1 Ge 1.75
O (0.6717, 0.8016, 0.9454)  1 Ge 1.75
O (0.3635, 0.8443, 0.4174)  1 Ge 1.73
O (0.1365, 0.5826, 0.1557)  1 Ge 1.73
O (0.6365, 0.1557, 0.5826)  1 Ge 1.73
O (0.8635, 0.4174, 0.8443)  1 Ge 1.73
O (0.9823, 0.6822, 0.6110)  2 Ge 1.83
O (0.5177, 0.3890, 0.3178)  2 Ge 1.83
O (0.0177, 0.3178, 0.3890)  2 Ge 1.83
O (0.4823, 0.6110, 0.6822)  2 Ge 1.83

Computed properties:
* total DFT energy (no corrections): -0.24322 Ha/atom
* volume: 320.9 Å³ per cell

---

Among the records above, which one has the lowest total DFT energy (no corrections)? NaAc3Ge2O9

---

Which of these has the highest volume? NaAcGe2O6